Entry from Alexandria via LeMat-Bulk: an optimized crystal structure of ZrTcBi2 (GGA-PBE).

```
ZrTcBi2
1.0
4.3991 0.0000 0.0000
0.0000 4.3991 0.0000
2.1996 2.1996 10.2190
Bi Zr Tc
4 2 2
direct
0.3750 0.3644 0.7500
0.1144 0.6250 0.2500
0.6356 0.1250 0.2500
0.8750 0.8856 0.7500
0.5000 0.5000 0.0000
0.2500 0.7500 0.5000
0.7500 0.2500 0.5000
0.0000 0.0000 0.0000
```

Computed properties:
- ρ (g/cm³) = 10.2
- E_tot (eV per cell) = -49.14
- energy above the most stable polymorph in this dataset (meV per atom) = 269
- energy relative to the elements (kJ/mol of formula units) = 203
- space-group type = I-42d, No. 122
- total magnetization (μB per cell) = 1.5
- V (Å³ per cell) = 197.8